The following is a DFT calculation (PBE) of a relaxed CdBRh3 crystal.

The space group is Amm2 (No. 38) and the conventional cell measures 2.853, 6.784 and 7.810 Å, with angles of 90.00, 90.00 and 90.00 degrees. The inequivalent atoms are Cd at (0.000, 0.000, 0.000), B at (0.500, 0.000, 0.454), Rh at (0.000, 0.000, 0.637) and Rh at (0.500, 0.202, 0.269).

For the density of states at the Fermi level, the calculation gives 7.97 states/eV/cell. The relative energy among the computed polymorphs is 289 meV per atom. As for the formation energy: 0.078 eV per atom.

The following is a DFT calculation (PBE) of a relaxed Sc2BeSb crystal.

The space group is R-3m (No. 166, hexagonal axes) and the conventional cell measures 3.5101, 3.5101 and 23.7755 Å, with angles of 90.00, 90.00 and 120.00 degrees. The inequivalent atoms are Sc at (0.0000, 0.0000, 0.2382), Be at (0.0000, 0.0000, 0.5000) and Sb at (0.0000, 0.0000, 0.0000).

For the density of states at the Fermi level, the calculation gives 13.01 states/eV/cell. The relative energy among the computed polymorphs is 333 meV per atom.

The following is a DFT calculation (PBE) of a relaxed LiRePb2 crystal.

The space group is Cmmm (No. 65) and the conventional cell measures 3.487, 5.431 and 9.171 Å, with angles of 90.00, 90.00 and 90.00 degrees. The inequivalent atoms are Li at (0.000, 0.000, 0.000), Re at (0.000, 0.000, 0.500) and Pb at (0.000, 0.500, 0.259).

For the density of states at the Fermi level, the calculation gives 5.76 states/eV/cell. The relative energy among the computed polymorphs is 114 meV per atom. As for the formation energy: 0.580 eV per atom.

The following is a DFT calculation (PBE) of a relaxed Sc4GaPd crystal.

The space group is P4/mmm (No. 123) and the conventional cell measures 4.566, 4.566 and 6.666 Å, with angles of 90.00, 90.00 and 90.00 degrees. The inequivalent atoms are Sc at (0.000, 0.500, 0.245), Ga at (0.000, 0.000, 0.500) and Pd at (0.500, 0.500, 0.000).

For the density of states at the Fermi level, the calculation gives 5.55 states/eV/cell. The relative energy among the computed polymorphs is 139 meV per atom. As for the formation energy: -0.352 eV per atom.

The following is a DFT calculation (PBE) of a relaxed CaDy2UN4 crystal.

The space group is P2/m (No. 10) and the conventional cell measures 5.969, 3.485 and 5.976 Å, with angles of 90.00, 108.54 and 90.00 degrees. The inequivalent atoms are Ca at (0.000, 0.000, 0.000), Dy at (0.000, 0.500, 0.500), Dy at (0.500, 0.000, 0.500), U at (0.500, 0.500, 0.000), N at (0.262, 0.000, 0.754) and N at (0.279, 0.500, 0.240).

As for the total DFT energy (no corrections): -67.649 eV/cell. For the density of states at the Fermi level, the calculation gives 4.77 states/eV/cell.

The following is a DFT calculation (PBE) of a relaxed Hf5TiSb3 crystal.

The space group is C2/m (No. 12) and the conventional cell measures 12.780, 8.344 and 9.745 Å, with angles of 90.00, 111.72 and 90.00 degrees. The inequivalent atoms are Hf at (0.000, 0.171, 0.000), Hf at (0.010, 0.000, 0.312), Hf at (0.122, 0.315, 0.795), Hf at (0.216, 0.000, 0.935), Ti at (0.088, 0.500, 0.294), Sb at (0.000, 0.500, 0.000), Sb at (0.000, 0.500, 0.500), Sb at (0.183, 0.000, 0.615) and Sb at (0.192, 0.000, 0.227).

As for the total DFT energy (no corrections): -277.746 eV/cell. For the density of states at the Fermi level, the calculation gives 33.23 states/eV/cell.

The following is a DFT calculation (PBE) of a relaxed Be5Fe crystal.

The space group is Cmmm (No. 65) and the conventional cell measures 3.357, 10.405 and 2.820 Å, with angles of 90.00, 90.00 and 90.00 degrees. The inequivalent atoms are Be at (0.000, 0.000, 0.000), Be at (0.000, 0.165, 0.500), Be at (0.000, 0.331, 0.000) and Fe at (0.000, 0.500, 0.500).

For the density of states at the Fermi level, the calculation gives 4.13 states/eV/cell. As for the formation energy: -0.107 eV per atom.

The following is a DFT calculation (PBE) of a relaxed K2VPdS4 crystal.

The space group is Fddd (No. 70, origin choice 2) and the conventional cell measures 5.629, 13.128 and 22.208 Å, with angles of 90.00, 90.00 and 90.00 degrees. The inequivalent atoms are K at (0.125, 0.125, 0.303), V at (0.125, 0.125, 0.625), Pd at (0.125, 0.125, 0.125) and S at (0.097, 0.275, 0.819).

As for the total DFT energy (no corrections): -324.302 eV/cell. For the density of states at the Fermi level, the calculation gives 50.58 states/eV/cell.